Below is a PBEsol-optimized structure of Ag2RhBr, with properties calculated at the meta-GGA SCAN level.

Values from the calculation:
The value obtained for the theoretical density is 8.51 g/cm3. As for the density of states at the Fermi level: 1.22 states/eV per cell. The calculation puts the formation energy from raw total energies at 0.24 eV per atom. The space group is Imm2 (44). The value obtained for the total energy is -2.11289 Ry/atom. The relative energy among the computed polymorphs is 0 meV/atom.

Structure (POSCAR):
```
Ag2RhBr
1.0
-0.261 -2.643 -1.371
4.245 -0.837 0.806
-3.464 -0.781 5.423
Ag Rh Br
2 1 1
direct
0.785 0.285 0.569
0.924 0.924 0.848
0.227 0.727 0.453
0.565 0.565 0.129
```